Computed, not measured: an optimized crystal structure of InRhAu2Br at the GGA-PBE level of DFT.

Summary:
- ΔE_f (raw): 3.98 eV/f.u.

The structure in POSCAR format:
```
InRhAu2Br
1.0
5.158 0.000 0.000
0.000 4.692 0.000
0.000 0.000 5.158
Rh Au Br In
1 2 1 1
Cartesian
0.000 2.346 0.000 Rh
0.000 0.000 2.579 Au
2.579 0.000 0.000 Au
0.000 0.000 0.000 Br
2.579 2.346 2.579 In
```

***

Computed, not measured: an optimized crystal structure of ZrPdS2Cl at the GGA-PBE level of DFT.

Summary:
- ΔE to the lowest computed polymorph: 0 meV per atom
- ΔE_f (raw): -2.12 eV/f.u.

The structure in POSCAR format:
```
ZrPdS2Cl
1.0
4.981 0.000 0.000
0.000 4.981 0.000
0.000 0.000 4.991
S Zr Pd Cl
2 1 1 1
Cartesian
0.000 2.491 0.000 S
2.491 0.000 0.000 S
0.000 0.000 0.000 Zr
2.491 2.491 2.495 Pd
0.000 0.000 2.495 Cl
```

***

Computed, not measured: an optimized crystal structure of Bi9Rh2Br3 at the GGA-PBE level of DFT.

Summary:
- ΔE_f (raw): -4.22 eV/f.u.

The structure in POSCAR format:
```
Bi9Rh2Br3
1.0
-8.317 -4.431 0.447
6.145 -11.895 -3.585
6.970 -2.255 19.431
Bi Rh Br
54 12 18
Cartesian
4.636 -11.075 4.504 Bi
1.025 -7.374 6.629 Bi
-0.172 -8.840 0.578 Bi
0.372 -14.446 2.207 Bi
-2.327 -10.556 6.142 Bi
-0.397 -4.622 7.458 Bi
4.971 -9.742 15.714 Bi
-4.587 -7.993 5.262 Bi
7.863 -9.627 16.704 Bi
7.001 -12.961 14.817 Bi
4.363 -8.434 6.823 Bi
1.255 -1.108 4.058 Bi
0.876 -12.311 13.790 Bi
2.834 -4.901 7.724 Bi
3.922 -6.270 2.503 Bi
0.435 -10.147 9.469 Bi
5.439 -9.780 1.583 Bi
4.427 -4.135 14.086 Bi
-2.213 -5.020 11.014 Bi
7.125 -8.025 10.150 Bi
10.494 -14.720 15.169 Bi
-0.146 -4.940 14.108 Bi
5.559 -4.500 11.064 Bi
-0.641 -8.802 14.709 Bi
2.460 -9.985 12.587 Bi
3.543 -17.473 12.234 Bi
2.519 -14.049 -0.992 Bi
-1.044 -11.706 3.032 Bi
5.797 -6.334 17.558 Bi
5.195 -13.960 8.834 Bi
-0.998 -12.247 -1.266 Bi
4.945 -13.641 2.185 Bi
3.975 -13.046 16.102 Bi
5.395 -15.795 15.273 Bi
0.824 -5.536 0.191 Bi
1.964 -13.680 8.568 Bi
-4.964 -5.452 7.681 Bi
0.807 -4.978 4.503 Bi
9.385 -10.588 11.030 Bi
-5.696 -3.862 1.123 Bi
3.991 -13.604 11.790 Bi
-0.597 -2.787 1.019 Bi
1.802 -10.638 -1.804 Bi
2.279 -4.533 17.284 Bi
-2.203 -5.620 1.475 Bi
3.773 -11.207 9.664 Bi
5.842 -6.876 13.260 Bi
-3.065 -8.954 -0.412 Bi
9.762 -13.130 8.612 Bi
2.996 -7.943 18.096 Bi
2.338 -8.596 3.705 Bi
0.162 -7.506 11.788 Bi
-0.760 -14.081 5.228 Bi
7.012 -13.561 5.278 Bi
6.141 -11.750 17.311 Rh
3.229 -6.368 5.250 Rh
-3.175 -3.285 0.050 Rh
6.955 -11.838 2.984 Rh
-1.343 -6.832 -1.019 Rh
-2.157 -6.743 13.308 Rh
7.973 -15.296 16.242 Rh
3.408 -15.772 9.969 Rh
5.114 -8.274 4.058 Rh
1.570 -12.214 11.042 Rh
1.390 -2.809 6.323 Rh
-0.316 -10.307 12.234 Rh
5.897 -10.431 12.514 Br
-2.930 -4.606 4.846 Br
2.385 -7.293 14.892 Br
-1.099 -8.150 3.778 Br
-5.104 -7.263 1.955 Br
9.902 -11.318 14.337 Br
5.556 -11.109 -1.673 Br
1.047 -10.965 16.912 Br
7.109 -10.789 7.794 Br
3.715 -7.549 9.978 Br
2.927 -14.602 5.238 Br
-2.311 -7.792 8.498 Br
7.729 -13.976 11.446 Br
-0.758 -7.472 17.965 Br
2.413 -11.288 1.400 Br
3.751 -7.617 -0.620 Br
1.083 -11.033 6.314 Br
1.871 -3.979 11.054 Br
```

***

Results for total moment: 0.0 0.7 0.0 (in μB/cell, following the order of the records).